(1)
The following is a DFT calculation (PBE) of a relaxed structure of RbFeSeS.

Lattice parameters (Å, degrees): 7.2851 7.2851 7.2851 135.71 122.75 75.12
Last column: nearest neighbours and their distance in Å.
Element x y z (fractional)
1 Rb 0.1814 0.1814 0.0000  4 S 3.37-3.51
2 Rb 0.8186 0.8186 0.0000  4 S 3.37-3.51
3 Fe 0.5000 0.2434 0.7434  2 S 2.18, 2 Se 2.33
4 Fe 0.5000 0.7566 0.2566  2 S 2.18, 2 Se 2.33
5 Se 0.2350 0.5000 0.7350  2 Fe 2.33
6 Se 0.7650 0.5000 0.2650  2 Fe 2.33
7 S 0.3508 0.8508 0.5000  2 Fe 2.18
8 S 0.6492 0.1492 0.5000  2 Fe 2.18

Crystal system   orthorhombic
Space-group type   Immm, No. 71
E   -0.182 Ha/atom

(2)
The following is a DFT calculation (PBE) of a relaxed structure of RbFeSeS.

Lattice parameters (Å, degrees): 6.9458 6.9458 5.5131 101.28 101.28 116.47
Last column: nearest neighbours and their distance in Å.
Element x y z (fractional)
1 Rb 0.0000 0.0000 0.0000  4 S 3.52-3.53, 4 Se 3.52-3.60
2 Rb 0.7104 0.2896 0.5000  4 Se 3.46-3.48, 4 S 3.50-3.64
3 Fe 0.3599 0.6401 0.5000  2 S 2.19, 2 Se 2.32
4 Fe 0.3631 0.6369 0.0000  2 S 2.18, 2 Se 2.33
5 Se 0.0537 0.5530 0.1519  2 Fe 2.32-2.33
6 Se 0.4470 0.9463 0.8481  2 Fe 2.32-2.33
7 S 0.2754 0.3574 0.6573  2 Fe 2.18-2.19
8 S 0.6426 0.7246 0.3427  2 Fe 2.18-2.19

Crystal system   monoclinic
Space-group type   C2, No. 5
E   -0.181 Ha/atom

(3)
The following is a DFT calculation (PBE) of a relaxed structure of RbFeSeS.

Lattice parameters (Å, degrees): 6.9405 6.9405 5.5126 101.32 101.32 116.51
Last column: nearest neighbours and their distance in Å.
Element x y z (fractional)
1 Rb 0.1435 0.8565 0.5000  4 Se 3.45-3.70, 4 S 3.46-3.59
2 Rb 0.8565 0.1435 0.0000  4 Se 3.45-3.70, 4 S 3.46-3.59
3 Fe 0.4839 0.4866 0.9863  2 S 2.18, 2 Se 2.32-2.33
4 Fe 0.4866 0.4839 0.4863  2 S 2.18, 2 Se 2.32-2.33
5 Se 0.5714 0.7938 0.3345  2 Fe 2.32-2.33
6 Se 0.7938 0.5714 0.8345  2 Fe 2.32-2.33
7 S 0.2056 0.4010 0.6447  2 Fe 2.18
8 S 0.4010 0.2056 0.1447  2 Fe 2.18

Crystal system   monoclinic
Space-group type   Cc, No. 9
E   -0.181 Ha/atom

(4)
The following is a DFT calculation (PBE) of a relaxed structure of RbSmFeS3.

Lattice parameters (Å, degrees): 9.0713 4.0299 9.6393 90.00 108.58 90.00
Last column: nearest neighbours and their distance in Å.
Element x y z (fractional)
1 Rb 0.2153 0.2500 0.2461  6 S 3.33-3.53
2 Rb 0.7847 0.7500 0.7539  6 S 3.33-3.53
3 Sm 0.3304 0.7500 0.8527  6 S 2.76-2.89
4 Sm 0.6696 0.2500 0.1473  6 S 2.76-2.89
5 Fe 0.0751 0.2500 0.5932  4 S 2.28-2.41
6 Fe 0.9249 0.7500 0.4068  4 S 2.28-2.41
7 S 0.1085 0.2500 0.8381  1 Fe 2.28
8 S 0.1904 0.7500 0.5383  3 Fe 2.34-2.41
9 S 0.4609 0.7500 0.1539  3 Sm 2.76-2.78
10 S 0.5391 0.2500 0.8461  3 Sm 2.76-2.78
11 S 0.8096 0.2500 0.4617  3 Fe 2.34-2.41
12 S 0.8915 0.7500 0.1619  1 Fe 2.28

Crystal system   monoclinic
Space-group type   P2_1/m, No. 11
E   -0.210 Ha/atom

(5)
The following is a DFT calculation (PBE) of a relaxed structure of RbSmFeS3.

Lattice parameters (Å, degrees): 7.6554 7.6554 10.6873 90.00 90.00 149.30
Last column: nearest neighbours and their distance in Å.
Element x y z (fractional)
1 Rb 0.2417 0.7583 0.7500  6 S 3.41-3.45
2 Rb 0.7583 0.2417 0.2500  6 S 3.41-3.45
3 Sm 0.5000 0.5000 0.0000  6 S 2.80
4 Sm 0.5000 0.5000 0.5000  6 S 2.80
5 Fe 0.0315 0.9685 0.2500  4 S 2.29-2.40
6 Fe 0.9685 0.0315 0.7500  4 S 2.29-2.40
7 S 0.1193 0.8807 0.0732  1 Fe 2.29
8 S 0.1193 0.8807 0.4268  1 Fe 2.29
9 S 0.4441 0.5559 0.2500  2 Fe 2.40
10 S 0.5559 0.4441 0.7500  2 Fe 2.40
11 S 0.8807 0.1193 0.5732  1 Fe 2.29
12 S 0.8807 0.1193 0.9268  1 Fe 2.29

Crystal system   orthorhombic
Space-group type   Cmcm, No. 63
E   -0.210 Ha/atom

(6)
The following is a DFT calculation (PBE) of a relaxed structure of RbSmFeS3.

Lattice parameters (Å, degrees): 11.0569 4.2118 12.2812 90.00 90.00 90.00
Last column: nearest neighbours and their distance in Å.
Element x y z (fractional)
1 Rb 0.1651 0.2500 0.0047  7 S 3.30-3.38, 3 Fe 3.55-3.59
2 Rb 0.3349 0.7500 0.5047  7 S 3.30-3.38, 3 Fe 3.55-3.59
3 Rb 0.6651 0.2500 0.4953  7 S 3.30-3.38, 3 Fe 3.55-3.59
4 Rb 0.8349 0.7500 0.9953  7 S 3.30-3.38, 3 Fe 3.55-3.59
5 Sm 0.0223 0.2500 0.6683  7 S 2.82-3.00
6 Sm 0.4777 0.7500 0.1683  7 S 2.82-3.00
7 Sm 0.5223 0.2500 0.8317  7 S 2.82-3.00
8 Sm 0.9777 0.7500 0.3317  7 S 2.82-3.00
9 Fe 0.2370 0.2500 0.2898  4 S 2.27-2.36
10 Fe 0.2630 0.7500 0.7898  4 S 2.27-2.36
11 Fe 0.7370 0.2500 0.2102  4 S 2.27-2.36
12 Fe 0.7630 0.7500 0.7102  4 S 2.27-2.36
13 S 0.0599 0.7500 0.8178  1 Fe 2.27
14 S 0.1068 0.2500 0.4388  1 Fe 2.33
15 S 0.2097 0.7500 0.2071  2 Fe 2.36
16 S 0.2903 0.2500 0.7071  2 Fe 2.36
17 S 0.3932 0.7500 0.9388  1 Fe 2.33
18 S 0.4401 0.2500 0.3178  1 Fe 2.27
19 S 0.5599 0.7500 0.6822  1 Fe 2.27
20 S 0.6068 0.2500 0.0612  1 Fe 2.33
21 S 0.7097 0.7500 0.2929  2 Fe 2.36
22 S 0.7903 0.2500 0.7929  2 Fe 2.36
23 S 0.8932 0.7500 0.5612  1 Fe 2.33
24 S 0.9401 0.2500 0.1822  1 Fe 2.27

Crystal system   orthorhombic
Space-group type   Pnma, No. 62
E   -0.208 Ha/atom

no.,E above lowest polymorph (eV/f.u.)
1,0.00
2,0.05
3,0.04
4,0.00
5,0.05
6,0.36